## Zn2SbI (PBE-GGA)

Data for a relaxed structure of Zn2SbI.

a = 6.323 Å, b = 6.323 Å, c = 7.852 Å
α = 66.26°, β = 66.26°, γ = 90.00°
Atoms (fractional coordinates):
1 I 0.000 0.000 0.000
2 I 0.750 0.250 0.500
3 Zn 0.174 0.625 0.250
4 Zn 0.875 0.826 0.750
5 Zn 0.375 0.424 0.750
6 Zn 0.576 0.125 0.250
7 Sb 0.500 0.500 0.000
8 Sb 0.250 0.750 0.500

- Energy above the most stable polymorph in this dataset: 0.000 eV/atom
- Space-group type: No. 122
- Formation energy (no corrections): -0.84 eV/f.u.